[1]
Crystalline Pu2UGe at its relaxed geometry. Source: the Alexandria database, functional GGA-PBE.

The structure in CIF format:
```
data_Pu2UGe
_space_group_name_H-M_alt 'F m -3 m'
_space_group_IT_number 225
_space_group_name_Hall '-F 4 2 3'
_cell_length_a 7.032
_cell_length_b 7.032
_cell_length_c 7.032
_cell_angle_alpha 90.00
_cell_angle_beta 90.00
_cell_angle_gamma 90.00
loop_
_atom_site_label
_atom_site_type_symbol
_atom_site_fract_x
_atom_site_fract_y
_atom_site_fract_z
Pu1 Pu 0.250 0.250 0.250
U1 U 0.000 0.000 0.000
Ge1 Ge 0.000 0.000 0.500
```

Crystal system: cubic
E above lowest polymorph, meV per atom: 164

[2]
Crystalline CuAsPt at its relaxed geometry. Source: the Alexandria database, functional GGA-PBE.

The structure in CIF format:
```
data_CuAsPt
_space_group_name_H-M_alt 'P 1 21/c 1'
_space_group_IT_number 14
_space_group_name_Hall '-P 2ybc'
_cell_length_a 5.391
_cell_length_b 6.806
_cell_length_c 6.995
_cell_angle_alpha 90.00
_cell_angle_beta 130.12
_cell_angle_gamma 90.00
loop_
_atom_site_label
_atom_site_type_symbol
_atom_site_fract_x
_atom_site_fract_y
_atom_site_fract_z
Cu1 Cu 0.168 0.164 0.091
As1 As 0.305 0.642 0.333
Pt1 Pt 0.209 0.540 0.943
```

Crystal system: monoclinic
E above lowest polymorph, meV per atom: 9